Entry from the Alexandria database: an optimized crystal structure of Cs2Cr4CuH4O16 (PBE with a Hubbard U).

Unit cell a=7.4976 b=7.8080 c=8.2143 alpha=88.07 beta=63.07 gamma=81.80
Closest atoms and distances in Å follow each position.
Sites, in units of the cell vectors:
Cs1 0.2375 0.1707 0.0261  9 O 3.15-3.44, 1 H 3.45
Cs2 0.7625 0.8293 0.9739  9 O 3.15-3.44, 1 H 3.45
Cr1 0.2499 0.8827 0.5322  4 O 1.62-1.79
Cr2 0.4760 0.6516 0.7378  4 O 1.62-1.77
Cr3 0.5240 0.3484 0.2622  4 O 1.62-1.77
Cr4 0.7501 0.1173 0.4678  4 O 1.62-1.79
Cu1 0.0000 0.5000 0.5000  4 O 1.98-1.99
H1 0.0831 0.2562 0.6793  1 O 1.01
H2 0.1726 0.4251 0.6998  1 O 1.00
H3 0.8274 0.5749 0.3002  1 O 1.00
H4 0.9169 0.7438 0.3207  1 O 1.01
O1 0.0537 0.3864 0.6957  2 H 1.00-1.01
O2 0.0963 0.7397 0.5688  1 Cr 1.64
O3 0.1307 0.0418 0.6874  1 Cr 1.65, 1 H 1.67
O4 0.2812 0.4111 0.3164  1 Cr 1.67
O5 0.3298 0.9517 0.3264  1 Cr 1.62
O6 0.3523 0.4880 0.7621  1 Cr 1.64, 1 H 1.77
O7 0.3713 0.7689 0.9257  1 Cr 1.62
O8 0.4631 0.7786 0.5596  2 Cr 1.77-1.79
O9 0.5369 0.2214 0.4404  2 Cr 1.77-1.79
O10 0.6287 0.2311 0.0743  1 Cr 1.62
O11 0.6477 0.5120 0.2379  1 Cr 1.64, 1 H 1.77
O12 0.6702 0.0483 0.6736  1 Cr 1.62
O13 0.7188 0.5889 0.6836  1 Cr 1.67
O14 0.8693 0.9582 0.3126  1 Cr 1.65, 1 H 1.67
O15 0.9037 0.2603 0.4312  1 Cr 1.64
O16 0.9463 0.6136 0.3043  2 H 1.00-1.01

Output
- space-group type = P-1 (2)
- uncorrected energy (Ry/atom) = -0.43939
- relative energy among the computed polymorphs (eV/atom) = 0.010
- V (Å³/f.u.) = 424.1